Record 1
Al4Cr2Re | PBE | relaxed

Output
ΔH_f (0 K)   0.623 eV per atom

Cell lengths 7.309, 7.309, 7.309 Å; angles 142.69, 142.69, 53.79 degrees
Fractional coordinates of all 7 atoms:
Al 0.000 0.500 0.500
Al 0.191 0.191 0.000
Al 0.500 0.000 0.500
Al 0.809 0.809 0.000
Cr 0.390 0.390 0.000
Cr 0.610 0.610 0.000
Re 0.000 0.000 0.000

Record 2
Al2CrRe | PBE | relaxed

Output
ΔH_f (0 K)   -0.007 eV per atom

Cell lengths 2.721, 3.897, 5.421 Å; angles 90.00, 90.00, 90.00 degrees
Fractional coordinates of all 4 atoms:
Al 0.000 0.000 0.249
Al 0.000 0.000 0.751
Cr 0.500 0.500 0.000
Re 0.500 0.500 0.500

Record 3
AlCr3Re2 | PBE | relaxed

Output
ΔH_f (0 K)   0.003 eV per atom

Cell lengths 4.866, 4.866, 4.866 Å; angles 58.08, 58.08, 58.08 degrees
Fractional coordinates of all 6 atoms:
Al 0.000 0.000 0.000
Cr 0.000 0.000 0.500
Cr 0.000 0.500 0.000
Cr 0.500 0.000 0.000
Re 0.380 0.380 0.380
Re 0.620 0.620 0.620

Record 4
AlCrRe2 | PBE | relaxed

Output
ΔH_f (0 K)   -0.062 eV per atom

Cell lengths 2.929, 2.929, 6.448 Å; angles 90.00, 90.00, 90.00 degrees
Fractional coordinates of all 4 atoms:
Al 0.000 0.000 0.000
Cr 0.000 0.000 0.500
Re 0.500 0.500 0.262
Re 0.500 0.500 0.738

Record 5
Al2CrRe | PBE | relaxed

Output
ΔH_f (0 K)   -0.047 eV per atom

Cell lengths 4.930, 4.930, 2.667 Å; angles 99.69, 99.69, 115.45 degrees
Fractional coordinates of all 4 atoms:
Al 0.000 0.500 0.000
Al 0.500 0.000 0.000
Cr 0.000 0.000 0.500
Re 0.500 0.500 0.500

Record 6
AlCr3Re | PBE | relaxed

Output
ΔH_f (0 K)   1.645 eV per atom

Cell lengths 4.244, 4.244, 4.244 Å; angles 90.00, 90.00, 90.00 degrees
Fractional coordinates of all 5 atoms:
Al 0.000 0.000 0.000
Cr 0.000 0.000 0.500
Cr 0.000 0.500 0.000
Cr 0.500 0.000 0.000
Re 0.500 0.500 0.500

Record 7
Al2CrRe | PBE | relaxed

Output
ΔH_f (0 K)   -0.007 eV per atom

Cell lengths 2.662, 2.662, 8.341 Å; angles 90.00, 90.00, 109.22 degrees
Fractional coordinates of all 4 atoms:
Al 0.000 0.000 0.240
Al 0.000 0.000 0.760
Cr 0.500 0.500 0.000
Re 0.500 0.500 0.500

Record 8
Al2CrRe | PBE | relaxed

Output
ΔH_f (0 K)   0.051 eV per atom

Cell lengths 8.794, 8.794, 8.794 Å; angles 18.01, 18.01, 18.01 degrees
Fractional coordinates of all 4 atoms:
Al 0.248 0.248 0.248
Al 0.752 0.752 0.752
Cr 0.500 0.500 0.500
Re 0.000 0.000 0.000

Number 2 is which compound? Al2CrRe